(1)
YTlOF2 | GGA-PBEsol | relaxed

**N(E_F)**: 0.507 states/eV per atom
**Calculated volume**: 18.037 Å³ per atom
**Formation energy (no corrections)**: -1346 meV per atom

a b c (Å): 4.5705 4.5705 4.3171
angles (deg): 90.00 90.00 90.00
With the nearest neighbours (Å) after each atom.
Space group P4/mmm (No. 123)
Symmetry-distinct sites (fractional):
Y 0.0000 0.0000 0.0000 x1  8 F 3.14, 4 O 3.23
Tl 0.5000 0.5000 0.5000 x1  2 O 2.16, 4 F 2.29
O 0.5000 0.5000 0.0000 x1  2 Tl 2.16
F 0.0000 0.5000 0.5000 x2  2 Tl 2.29

=====

(2)
ZrTlOF2 | GGA-PBEsol | relaxed

**N(E_F)**: 0.810 states/eV per atom
**Calculated volume**: 17.275 Å³ per atom
**E above lowest polymorph**: 8.813 eV/f.u.
**Formation energy (no corrections)**: -717 meV per atom

a b c (Å): 4.5013 4.5013 4.2630
angles (deg): 90.00 90.00 90.00
With the nearest neighbours (Å) after each atom.
Space group P4/mmm (No. 123)
Symmetry-distinct sites (fractional):
Zr 0.0000 0.0000 0.0000 x1  8 F 3.10, 4 O 3.18
Tl 0.5000 0.5000 0.5000 x1  2 O 2.13, 4 F 2.25
O 0.5000 0.5000 0.0000 x1  2 Tl 2.13
F 0.0000 0.5000 0.5000 x2  2 Tl 2.25

=====

Please write out number 2 again, unchanged.
ZrTlOF2 | GGA-PBEsol | relaxed

**N(E_F)**: 0.810 states/eV per atom
**Calculated volume**: 17.275 Å³ per atom
**E above lowest polymorph**: 8.813 eV/f.u.
**Formation energy (no corrections)**: -717 meV per atom

a b c (Å): 4.5013 4.5013 4.2630
angles (deg): 90.00 90.00 90.00
With the nearest neighbours (Å) after each atom.
Space group P4/mmm (No. 123)
Symmetry-distinct sites (fractional):
Zr 0.0000 0.0000 0.0000 x1  8 F 3.10, 4 O 3.18
Tl 0.5000 0.5000 0.5000 x1  2 O 2.13, 4 F 2.25
O 0.5000 0.5000 0.0000 x1  2 Tl 2.13
F 0.0000 0.5000 0.5000 x2  2 Tl 2.25